Material: ScNiPtO4
Method: DFT, PBE with a Hubbard U
State: optimized geometry

Computed properties:
Space group: Imma
Volume in Å³/atom: 11.7
DFT total energy in eV/atom: -6.507
Total magnetic moment in μB/atom: 0.26

Cell: 6.905 6.003 6.239 Å, 121.31 90.00 125.11°
Element x y z (fractional)
O 0.691 0.965 0.232
O 0.215 0.430 0.680
O 0.274 0.965 0.232
O 0.726 0.035 0.768
O 0.215 0.430 0.250
O 0.785 0.570 0.320
O 0.785 0.570 0.750
O 0.309 0.035 0.768
Pt 0.000 0.500 0.500
Pt 0.500 0.500 0.500
Sc 0.500 0.000 0.500
Sc 0.500 0.000 0.000
Ni 0.074 0.148 0.824
Ni 0.926 0.852 0.176